No. 1
An optimized crystal structure of VSb2MoH. Source: Alexandria via LeMat-Bulk, functional PBE.

Cell: 5.244 5.244 3.469 Å, 90.00 90.00 90.00°
Fractional coordinates of all 5 atoms:
V  0.000  0.000  0.000
Sb  0.000  0.500  0.500
Sb  0.500  0.000  0.500
Mo  0.500  0.500  0.500
H  0.500  0.500  0.000

DFT total energy = -5.529 eV per atom
crystal system = tetragonal
volume = 95 Å³/cell

No. 2
An optimized crystal structure of NdSm2Er2Tm2. Source: Alexandria via LeMat-Bulk, functional PBE.

Cell: 8.992 8.992 8.366 Å, 116.01 116.01 22.39°
Fractional coordinates of all 7 atoms:
Nd  0.000  0.000  0.000
Sm  0.352  0.352  0.114
Sm  0.648  0.648  0.886
Er  0.211  0.211  0.300
Er  0.789  0.789  0.700
Tm  0.429  0.429  0.592
Tm  0.571  0.571  0.408

crystal system = monoclinic
volume = 230 Å³/cell
energy of formation from the pure elements = 0.15 eV per atom

No. 3
An optimized crystal structure of RbNpCl4. Source: Alexandria via LeMat-Bulk, functional PBE.

Cell: 8.310 8.310 6.763 Å, 96.24 96.24 119.99°
Fractional coordinates of all 12 atoms:
Rb  0.148  0.852  0.750
Rb  0.852  0.148  0.250
Np  0.496  0.504  0.750
Np  0.504  0.496  0.250
Cl  0.184  0.272  0.931
Cl  0.268  0.575  0.475
Cl  0.272  0.184  0.431
Cl  0.425  0.732  0.025
Cl  0.575  0.268  0.975
Cl  0.728  0.816  0.569
Cl  0.732  0.425  0.525
Cl  0.816  0.728  0.069

DFT total energy = -5.340 eV per atom
crystal system = monoclinic
volume = 395 Å³/cell